1.
The following is a PBE calculation of crystalline Rb2ZrIrO6 at its relaxed geometry, from OQMD.

The structure in CIF format:
```
data_Rb2ZrIrO6
_symmetry_space_group_name_H-M 'F m -3 m'
_symmetry_Int_Tables_number 225
_symmetry_space_group_name_Hall '-F 4 2 3'
_cell_length_a 8.1217
_cell_length_b 8.1217
_cell_length_c 8.1217
_cell_angle_alpha 90.00
_cell_angle_beta 90.00
_cell_angle_gamma 90.00
loop_
_atom_site_label
_atom_site_type_symbol
_atom_site_fract_x
_atom_site_fract_y
_atom_site_fract_z
_atom_site_occupancy
Rb1 Rb 0.2500 0.2500 0.2500 1
Zr1 Zr 0.0000 0.0000 0.0000 1
Ir1 Ir 0.0000 0.0000 0.5000 1
O1 O 0.0000 0.0000 0.2599 1
```

Values from the calculation:
- Spin magnetization: 4.09 μB/cell

=====

2.
The following is a PBE calculation of crystalline LuCoCu2 at its relaxed geometry, from OQMD.

The structure in CIF format:
```
data_LuCoCu2
_symmetry_space_group_name_H-M 'F -4 3 m'
_symmetry_Int_Tables_number 216
_symmetry_space_group_name_Hall 'F -4 2 3'
_cell_length_a 6.1699
_cell_length_b 6.1699
_cell_length_c 6.1699
_cell_angle_alpha 90.00
_cell_angle_beta 90.00
_cell_angle_gamma 90.00
loop_
_atom_site_label
_atom_site_type_symbol
_atom_site_fract_x
_atom_site_fract_y
_atom_site_fract_z
_atom_site_occupancy
Lu1 Lu 0.0000 0.0000 0.0000 1
Co1 Co 0.2500 0.2500 0.2500 1
Cu1 Cu 0.0000 0.0000 0.5000 1
Cu2 Cu 0.2500 0.2500 0.7500 1
```

Values from the calculation:
- Energy of formation from the pure elements: -0.01 eV/atom
- Spin magnetization: 0.48 μB/cell

=====

3.
The following is a PBE calculation of crystalline Tm2LuSi4Ag4 at its relaxed geometry, from OQMD.

The structure in CIF format:
```
data_Tm2LuSi4Ag4
_symmetry_space_group_name_H-M 'I m m m'
_symmetry_Int_Tables_number 71
_symmetry_space_group_name_Hall '-I 2 2'
_cell_length_a 4.2229
_cell_length_b 6.9428
_cell_length_c 14.0223
_cell_angle_alpha 90.00
_cell_angle_beta 90.00
_cell_angle_gamma 90.00
loop_
_atom_site_label
_atom_site_type_symbol
_atom_site_fract_x
_atom_site_fract_y
_atom_site_fract_z
_atom_site_occupancy
Tm1 Tm 0.0000 0.0000 0.1242 1
Lu1 Lu 0.0000 0.5000 0.0000 1
Si1 Si 0.0000 0.3228 0.5000 1
Si2 Si 0.0000 0.5000 0.2153 1
Ag1 Ag 0.0000 0.1997 0.3309 1
```

Values from the calculation:
- Spin magnetization: 0.00 μB/cell

=====

4.
The following is a PBE calculation of crystalline PrNi2Sn at its relaxed geometry, from OQMD.

The structure in CIF format:
```
data_PrNi2Sn
_symmetry_space_group_name_H-M 'P 4/m m m'
_symmetry_Int_Tables_number 123
_symmetry_space_group_name_Hall '-P 4 2'
_cell_length_a 4.6365
_cell_length_b 4.6365
_cell_length_c 3.5314
_cell_angle_alpha 90.00
_cell_angle_beta 90.00
_cell_angle_gamma 90.00
loop_
_atom_site_label
_atom_site_type_symbol
_atom_site_fract_x
_atom_site_fract_y
_atom_site_fract_z
_atom_site_occupancy
Pr1 Pr 0.0000 0.0000 0.0000 1
Ni1 Ni 0.0000 0.5000 0.5000 1
Sn1 Sn 0.5000 0.5000 0.0000 1
```

Values from the calculation:
- Spin magnetization: 0.00 μB/cell

=====

5.
The following is a PBE calculation of crystalline HfNbNiB at its relaxed geometry, from OQMD.

The structure in CIF format:
```
data_HfNbNiB
_symmetry_space_group_name_H-M 'F -4 3 m'
_symmetry_Int_Tables_number 216
_symmetry_space_group_name_Hall 'F -4 2 3'
_cell_length_a 6.0915
_cell_length_b 6.0915
_cell_length_c 6.0915
_cell_angle_alpha 90.00
_cell_angle_beta 90.00
_cell_angle_gamma 90.00
loop_
_atom_site_label
_atom_site_type_symbol
_atom_site_fract_x
_atom_site_fract_y
_atom_site_fract_z
_atom_site_occupancy
Hf1 Hf 0.0000 0.0000 0.0000 1
Nb1 Nb 0.2500 0.2500 0.2500 1
Ni1 Ni 0.2500 0.2500 0.7500 1
B1 B 0.0000 0.0000 0.5000 1
```

Values from the calculation:
- Excess energy over the best structure of this formula in the dataset: 2.35 eV/f.u.
- Spin magnetization: 5.55 μB/cell

=====

6.
The following is a PBE calculation of crystalline Sm2Ga2ICl at its relaxed geometry, from OQMD.

The structure in CIF format:
```
data_Sm2Ga2ICl
_symmetry_space_group_name_H-M 'P 3 m 1'
_symmetry_Int_Tables_number 156
_cell_length_a 4.2069
_cell_length_b 4.2069
_cell_length_c 11.1820
_cell_angle_alpha 90.00
_cell_angle_beta 90.00
_cell_angle_gamma 120.00
loop_
_symmetry_equiv_pos_as_xyz
'x,y,z'
'-y,x-y,z'
'-x+y,-x,z'
'-y,-x,z'
'-x+y,y,z'
'x,x-y,z'
loop_
_atom_site_label
_atom_site_type_symbol
_atom_site_fract_x
_atom_site_fract_y
_atom_site_fract_z
_atom_site_occupancy
Sm1 Sm 0.0000 0.0000 0.0000 1
Sm2 Sm 0.0000 0.0000 0.3733 1
Ga1 Ga 0.3333 0.6667 0.1564 1
Ga2 Ga 0.6667 0.3333 0.2142 1
I1 I 0.6667 0.3333 0.8160 1
Cl1 Cl 0.3333 0.6667 0.5129 1
```

Values from the calculation:
- Spin magnetization: 0.00 μB/cell

=====

7.
The following is a PBE calculation of crystalline TcCS at its relaxed geometry, from OQMD.

The structure in CIF format:
```
data_TcCS
_symmetry_space_group_name_H-M 'R 3 m'
_symmetry_Int_Tables_number 160
_symmetry_space_group_name_Hall 'R 3 -2"'
_cell_length_a 4.2158
_cell_length_b 4.2158
_cell_length_c 6.5791
_cell_angle_alpha 90.00
_cell_angle_beta 90.00
_cell_angle_gamma 120.00
loop_
_atom_site_label
_atom_site_type_symbol
_atom_site_fract_x
_atom_site_fract_y
_atom_site_fract_z
_atom_site_occupancy
Tc1 Tc 0.0000 0.0000 0.0000 1
C1 C 0.0000 0.0000 0.3287 1
S1 S 0.0000 0.0000 0.6092 1
```

Values from the calculation:
- Spin magnetization: 1.39 μB/cell

=====

8.
The following is a PBE calculation of crystalline Cu2Ag3 at its relaxed geometry, from OQMD.

The structure in CIF format:
```
data_Cu2Ag3
_symmetry_space_group_name_H-M 'P 1 21/m 1'
_symmetry_Int_Tables_number 11
_cell_length_a 6.8652
_cell_length_b 2.8393
_cell_length_c 8.2201
_cell_angle_alpha 90.00
_cell_angle_beta 104.32
_cell_angle_gamma 90.00
loop_
_symmetry_equiv_pos_as_xyz
'x,y,z'
'-x,-y,-z'
'-x,y+1/2,-z'
'x,-y+1/2,z'
loop_
_atom_site_label
_atom_site_type_symbol
_atom_site_fract_x
_atom_site_fract_y
_atom_site_fract_z
_atom_site_occupancy
Cu1 Cu 0.1402 0.2500 0.4653 1
Cu2 Cu 0.2421 0.7500 0.7313 1
Ag1 Ag 0.0462 0.7500 0.1708 1
Ag2 Ag 0.3413 0.2500 0.0366 1
Ag3 Ag 0.4555 0.7500 0.3489 1
```

Values from the calculation:
- Excess energy over the best structure of this formula in the dataset: 0.24 eV/f.u.
- Energy of formation from the pure elements: 0.08 eV/atom

=====

9.
The following is a PBE calculation of crystalline PrTmNO at its relaxed geometry, from OQMD.

The structure in CIF format:
```
data_PrTmNO
_symmetry_space_group_name_H-M 'P c a 21'
_symmetry_Int_Tables_number 29
_cell_length_a 6.7451
_cell_length_b 8.1906
_cell_length_c 5.0140
_cell_angle_alpha 90.00
_cell_angle_beta 90.00
_cell_angle_gamma 90.00
loop_
_symmetry_equiv_pos_as_xyz
'x,y,z'
'-x,-y,z+1/2'
'-x+1/2,y,z+1/2'
'x+1/2,-y,z'
loop_
_atom_site_label
_atom_site_type_symbol
_atom_site_fract_x
_atom_site_fract_y
_atom_site_fract_z
_atom_site_occupancy
Pr1 Pr 0.0675 0.1273 0.0000 1
Tm1 Tm 0.0863 0.6193 0.9999 1
N1 N 0.0826 0.6126 0.5006 1
O1 O 0.0825 0.1508 0.4990 1
```

Values from the calculation:
- Excess energy over the best structure of this formula in the dataset: 0.03 eV/f.u.
- Spin magnetization: 0.01 μB/cell

=====

10.
The following is a PBE calculation of crystalline Tb5Tl3 at its relaxed geometry, from OQMD.

The structure in CIF format:
```
data_Tb5Tl3
_symmetry_space_group_name_H-M 'I 4/m c m'
_symmetry_Int_Tables_number 140
_symmetry_space_group_name_Hall '-I 4 2c'
_cell_length_a 12.2020
_cell_length_b 12.2020
_cell_length_c 6.1232
_cell_angle_alpha 90.00
_cell_angle_beta 90.00
_cell_angle_gamma 90.00
loop_
_atom_site_label
_atom_site_type_symbol
_atom_site_fract_x
_atom_site_fract_y
_atom_site_fract_z
_atom_site_occupancy
Tb1 Tb 0.0000 0.5000 0.2500 1
Tb2 Tb 0.0831 0.2192 0.0000 1
Tl1 Tl 0.0000 0.0000 0.2500 1
Tl2 Tl 0.1617 0.3383 0.5000 1
```

Values from the calculation:
- Excess energy over the best structure of this formula in the dataset: 0.00 eV/f.u.
- Spin magnetization: 0.22 μB/cell

=====

11.
The following is a PBE calculation of crystalline Na2ReHgSe4 at its relaxed geometry, from OQMD.

The structure in CIF format:
```
data_Na2ReHgSe4
_symmetry_space_group_name_H-M 'C 1 2 1'
_symmetry_Int_Tables_number 5
_cell_length_a 9.5666
_cell_length_b 10.7642
_cell_length_c 6.7621
_cell_angle_alpha 90.00
_cell_angle_beta 134.95
_cell_angle_gamma 90.00
loop_
_symmetry_equiv_pos_as_xyz
'x,y,z'
'-x,y,-z'
'x+1/2,y+1/2,z'
'-x+1/2,y+1/2,-z'
loop_
_atom_site_label
_atom_site_type_symbol
_atom_site_fract_x
_atom_site_fract_y
_atom_site_fract_z
_atom_site_occupancy
Na1 Na 0.0000 0.0000 0.0000 1
Na2 Na 0.0000 0.2493 0.5000 1
Re1 Re 0.0000 0.4999 0.0000 1
Hg1 Hg 0.0000 0.7504 0.5000 1
Se1 Se 0.2040 0.6167 0.9907 1
Se2 Se 0.2129 0.3832 0.4173 1
```

Values from the calculation:
- Spin magnetization: 2.00 μB/cell

=====

12.
The following is a PBE calculation of crystalline Ho2ErN3 at its relaxed geometry, from OQMD.

The structure in CIF format:
```
data_Ho2ErN3
_symmetry_space_group_name_H-M 'P -3 m 1'
_symmetry_Int_Tables_number 164
_symmetry_space_group_name_Hall '-P 3 2"'
_cell_length_a 3.4300
_cell_length_b 3.4300
_cell_length_c 8.4081
_cell_angle_alpha 90.00
_cell_angle_beta 90.00
_cell_angle_gamma 120.00
loop_
_atom_site_label
_atom_site_type_symbol
_atom_site_fract_x
_atom_site_fract_y
_atom_site_fract_z
_atom_site_occupancy
Ho1 Ho 0.3333 0.6667 0.3332 1
Er1 Er 0.0000 0.0000 0.0000 1
N1 N 0.0000 0.0000 0.5000 1
N2 N 0.3333 0.6667 0.8336 1
```

Values from the calculation:
- Spin magnetization: 0.00 μB/cell

=====

Table of VASP energy (eV/atom), in record order: -6.635, -4.772, -4.680, -5.187, -7.471, -4.376, -6.667, -3.100, -7.770, -4.090, -4.017, -8.207